# MgTiTl PBE-GGA optimized geometry
# Energy of formation   96 meV/atom
# E   -3.86 eV per atom
# DOS at the Fermi energy   2.231 states/eV/f.u.
data_MgTiTl
_cell_length_a 3.7509
_cell_length_b 3.2374
_cell_length_c 11.1632
_cell_angle_alpha 90.00
_cell_angle_beta 99.53
_cell_angle_gamma 90.00
_symmetry_space_group_name_H-M 'P 1 21/m 1'
_symmetry_Int_Tables_number 11
loop_
_symmetry_equiv_pos_as_xyz
'x,y,z'
'-x,-y,-z'
'-x,y+1/2,-z'
'x,-y+1/2,z'
loop_
_atom_site_label
_atom_site_type_symbol
_atom_site_fract_x
_atom_site_fract_y
_atom_site_fract_z
_atom_site_occupancy
Mg1 Mg 0.0625 0.2500 0.1174 1
Ti1 Ti 0.2195 0.2500 0.4381 1
Tl1 Tl 0.3565 0.2500 0.7161 1